[1]
Material: Ba2TaCo
Method: DFT, PBE-GGA
State: optimized geometry

## Properties
calculated volume: 108.2 Å³/cell
energy above the lowest structure with this stoichiometry: 0.9800 eV/atom
calculated formation energy: 5.445 eV/f.u.
size of the total moment: 1.63 μB/f.u.
mass density: 7.90 g/cm3

a = 4.3400 Å, b = 4.8147 Å, c = 5.1786 Å
α = 90.00°, β = 90.00°, γ = 90.00°
Space group Pmmm (No. 47)
One atom of each set of equivalent atoms:
1 Ba 0.0000 0.0000 0.0000 [1 per cell]
2 Ba 0.5000 0.5000 0.0000 [1 per cell]
3 Ta 0.0000 0.5000 0.5000 [1 per cell]
4 Co 0.5000 0.0000 0.5000 [1 per cell]

***

[2]
Material: BaTa2Co
Method: DFT, PBE-GGA
State: optimized geometry

## Properties
calculated volume: 187.3 Å³/cell
energy above the lowest structure with this stoichiometry: 0.2605 eV/atom
calculated formation energy: 2.808 eV/f.u.
size of the total moment: 0.00 μB/f.u.
mass density: 9.90 g/cm3

a = 10.2716 Å, b = 3.1647 Å, c = 5.9826 Å
α = 90.00°, β = 105.62°, γ = 90.00°
Space group C2/m (No. 12)
One atom of each set of equivalent atoms:
1 Ba 0.0000 0.0000 0.0000 [2 per cell]
2 Ta 0.1898 0.0000 0.6314 [4 per cell]
3 Co 0.0000 0.5000 0.5000 [2 per cell]

***

[3]
Material: BaTa2Co
Method: DFT, PBE-GGA
State: optimized geometry

## Properties
calculated volume: 199.0 Å³/cell
energy above the lowest structure with this stoichiometry: 0.2382 eV/atom
calculated formation energy: 2.719 eV/f.u.
size of the total moment: 0.00 μB/f.u.
mass density: 9.32 g/cm3

a = 3.3820 Å, b = 3.6837 Å, c = 15.9718 Å
α = 90.00°, β = 90.00°, γ = 90.00°
Space group Imm2 (No. 44)
One atom of each set of equivalent atoms:
1 Ba 0.0000 0.0000 0.0000 [2 per cell]
2 Ta 0.0000 0.0000 0.6771 [2 per cell]
3 Ta 0.0000 0.5000 0.8088 [2 per cell]
4 Co 0.0000 0.5000 0.2832 [2 per cell]

***

[4]
Material: BaTa2Co
Method: DFT, PBE-GGA
State: optimized geometry

## Properties
calculated volume: 199.7 Å³/cell
energy above the lowest structure with this stoichiometry: 0.2213 eV/atom
calculated formation energy: 2.651 eV/f.u.
size of the total moment: 0.00 μB/f.u.
mass density: 9.28 g/cm3

a = 9.4673 Å, b = 3.2550 Å, c = 6.6948 Å
α = 90.00°, β = 104.50°, γ = 90.00°
Space group Cm (No. 8)
One atom of each set of equivalent atoms:
1 Ba 0.0000 0.0000 0.0000 [2 per cell]
2 Ta 0.0524 0.5000 0.5373 [2 per cell]
3 Ta 0.3076 0.5000 0.3891 [2 per cell]
4 Co 0.2625 0.0000 0.6281 [2 per cell]

***

[5]
Material: Ba2TaCo
Method: DFT, PBE-GGA
State: optimized geometry

## Properties
calculated volume: 329.1 Å³/cell
energy above the lowest structure with this stoichiometry: 0.8935 eV/atom
calculated formation energy: 5.099 eV/f.u.
size of the total moment: 1.59 μB/f.u.
mass density: 7.79 g/cm3

a = 3.4945 Å, b = 3.4945 Å, c = 31.1157 Å
α = 90.00°, β = 90.00°, γ = 120.00°
Space group R-3m (No. 166, hexagonal axes)
One atom of each set of equivalent atoms:
1 Ba 0.0000 0.0000 0.2414 [6 per cell]
2 Ta 0.0000 0.0000 0.0000 [3 per cell]
3 Co 0.0000 0.0000 0.5000 [3 per cell]

***

[6]
Material: Ba2TaCo
Method: DFT, PBE-GGA
State: optimized geometry

## Properties
calculated volume: 112.4 Å³/cell
energy above the lowest structure with this stoichiometry: 0.7966 eV/atom
calculated formation energy: 4.712 eV/f.u.
size of the total moment: 2.54 μB/f.u.
mass density: 7.60 g/cm3

a = 3.4399 Å, b = 3.4399 Å, c = 9.4979 Å
α = 90.00°, β = 90.00°, γ = 90.00°
Space group P4/mmm (No. 123)
One atom of each set of equivalent atoms:
1 Ba 0.0000 0.0000 0.2173 [2 per cell]
2 Ta 0.5000 0.5000 0.5000 [1 per cell]
3 Co 0.5000 0.5000 0.0000 [1 per cell]

***

[7]
Material: BaTa2Co
Method: DFT, PBE-GGA
State: optimized geometry

## Properties
calculated volume: 76.9 Å³/cell
energy above the lowest structure with this stoichiometry: 0.9392 eV/atom
calculated formation energy: 5.523 eV/f.u.
size of the total moment: 0.50 μB/f.u.
mass density: 12.05 g/cm3

a = 4.9609 Å, b = 4.9609 Å, c = 3.1264 Å
α = 90.00°, β = 90.00°, γ = 90.00°
Space group P4/mmm (No. 123)
One atom of each set of equivalent atoms:
1 Ba 0.0000 0.0000 0.0000 [1 per cell]
2 Ta 0.0000 0.5000 0.5000 [2 per cell]
3 Co 0.5000 0.5000 0.0000 [1 per cell]

***

[8]
Material: BaTa2Co
Method: DFT, PBE-GGA
State: optimized geometry

## Properties
calculated volume: 458.6 Å³/cell
energy above the lowest structure with this stoichiometry: 0.7311 eV/atom
calculated formation energy: 4.690 eV/f.u.
size of the total moment: 0.00 μB/f.u.
mass density: 8.08 g/cm3

a = 5.2917 Å, b = 5.2917 Å, c = 16.3786 Å
α = 90.00°, β = 90.00°, γ = 90.00°
Space group I4_1/amd (No. 141, origin choice 2)
One atom of each set of equivalent atoms:
1 Ba 0.0000 0.2500 0.3750 [4 per cell]
2 Ta 0.0000 0.0000 0.0000 [8 per cell]
3 Co 0.0000 0.2500 0.8750 [4 per cell]